1.
GdInGa4Ir | PBE | optimized geometry

Results
Total DFT energy (no corrections) in eV/atom: -4.58
Symmetry: P4/mmm
Total magnetization in μB/cell: 0.00

Geometry as CIF:
```
data_GdInGa4Ir
_symmetry_space_group_name_H-M 'P 1'
_symmetry_Int_Tables_number 1
_symmetry_space_group_name_Hall 'P 1'
_cell_length_a 4.4421
_cell_length_b 4.4421
_cell_length_c 6.9067
_cell_angle_alpha 90.00
_cell_angle_beta 90.00
_cell_angle_gamma 90.00
loop_
_atom_site_label
_atom_site_fract_x
_atom_site_fract_y
_atom_site_fract_z
_atom_site_occupancy
Gd1 0.0000 0.0000 0.0000 1
In1 0.5000 0.5000 0.0000 1
Ga1 0.0000 0.5000 0.3073 1
Ga2 0.0000 0.5000 0.6927 1
Ga3 0.5000 0.0000 0.3073 1
Ga4 0.5000 0.0000 0.6927 1
Ir1 0.0000 0.0000 0.5000 1
```

***

2.
NdGd2Mg3InGa2 | PBE | optimized geometry

Results
Total DFT energy (no corrections) in eV/atom: -3.53
Symmetry: Amm2
Total magnetization in μB/cell: 0.00

Geometry as CIF:
```
data_NdGd2Mg3InGa2
_symmetry_space_group_name_H-M 'P 1'
_symmetry_Int_Tables_number 1
_symmetry_space_group_name_Hall 'P 1'
_cell_length_a 4.6015
_cell_length_b 7.4376
_cell_length_c 7.4376
_cell_angle_alpha 120.37
_cell_angle_beta 90.00
_cell_angle_gamma 90.00
loop_
_atom_site_label
_atom_site_fract_x
_atom_site_fract_y
_atom_site_fract_z
_atom_site_occupancy
Nd1 0.0000 0.0000 0.0000 1
Gd1 0.0000 0.4364 0.8724 1
Gd2 0.0000 0.8724 0.4364 1
Mg1 0.5000 0.1879 0.4380 1
Mg2 0.5000 0.4380 0.1879 1
Mg3 0.5000 0.6854 0.6854 1
In1 0.0000 0.4405 0.4405 1
Ga1 0.5000 0.1053 0.7678 1
Ga2 0.5000 0.7678 0.1053 1
```